A relaxed structure of As6Rh7, computed with PBE.

Values from the calculation:
The total moment comes out at 0.0 μB/cell. The density of states at the Fermi level comes out at 9.537 states/eV/f.u. Its space group is No. 166. The formation energy comes out at -0.1158 eV/atom.

a = 9.340 Å, b = 9.341 Å, c = 9.340 Å
α = 33.50°, β = 33.50°, γ = 33.50°
Sites, in units of the cell vectors:
Rh (0.924, 0.428, 0.428)
Rh (0.572, 0.572, 0.076)
Rh (0.500, 0.500, 0.500)
Rh (0.572, 0.076, 0.572)
Rh (0.428, 0.924, 0.428)
Rh (0.428, 0.428, 0.924)
Rh (0.076, 0.572, 0.572)
As (0.087, 0.087, 0.087)
As (0.913, 0.913, 0.913)
As (0.332, 0.332, 0.332)
As (0.184, 0.184, 0.183)
As (0.816, 0.816, 0.817)
As (0.668, 0.668, 0.668)